Sm5Si2Au PBE optimized geometry; total magnetization = 0.0 μB per formula unit; formation energy without anion corrections = -0.623 eV/atom
1.0
-3.793 3.793 7.352
3.793 -3.793 7.352
3.793 3.793 -7.352
Sm Si Au
10 4 2
Direct
0.000 0.000 0.000
0.033 0.533 0.849
0.183 0.033 0.500
0.317 0.817 0.849
0.467 0.317 0.500
0.500 0.500 0.000
0.533 0.683 0.500
0.683 0.183 0.151
0.817 0.967 0.500
0.967 0.467 0.151
0.117 0.383 0.500
0.383 0.883 0.265
0.617 0.117 0.735
0.883 0.617 0.500
0.250 0.250 0.000
0.750 0.750 0.000